An optimized crystal structure of Ba3PuZn2O8. Source: Alexandria, functional PBE.

a b c (Å): 5.9593 5.9593 7.7189
angles (deg): 90.00 90.00 120.00
Space group P-3m1 (No. 164)
Symmetry-distinct sites (fractional):
1 Ba 0.0000 0.0000 0.0000 [1 per cell]
2 Ba 0.3333 0.6667 0.6609 [2 per cell]
3 Pu 0.0000 0.0000 0.5000 [1 per cell]
4 Zn 0.3333 0.6667 0.2072 [2 per cell]
5 O 0.1621 0.3242 0.3398 [6 per cell]
6 O 0.3333 0.6667 0.9701 [2 per cell]

Output
- formation energy without anion corrections (eV per formula unit) = -31.78
- spin magnetization (Bohr magnetons per cell) = 2.00